(1)
Computed, not measured: Dy6Y8Sc after structural relaxation at the PBE level of DFT.

a = 8.0922 Å, b = 8.0922 Å, c = 8.0922 Å
α = 73.71°, β = 73.71°, γ = 73.71°
With the nearest neighbours (Å) after each atom.
Element x y z (fractional)
Dy  0.0640  0.6194  0.2846  3 Y 3.11-3.45, 1 Sc 3.29, 2 Dy 3.31
Dy  0.2846  0.0640  0.6194  3 Y 3.11-3.45, 1 Sc 3.29, 2 Dy 3.31
Dy  0.3806  0.7154  0.9360  3 Y 3.11-3.45, 1 Sc 3.29, 2 Dy 3.31
Dy  0.6194  0.2846  0.0640  3 Y 3.11-3.45, 1 Sc 3.29, 2 Dy 3.31
Dy  0.7154  0.9360  0.3806  3 Y 3.11-3.45, 1 Sc 3.29, 2 Dy 3.31
Dy  0.9360  0.3806  0.7154  3 Y 3.11-3.45, 1 Sc 3.29, 2 Dy 3.31
Y  0.0690  0.7681  0.6495  3 Dy 3.26-3.50, 4 Y 3.64
Y  0.2319  0.3505  0.9310  3 Dy 3.26-3.50, 4 Y 3.64
Y  0.3505  0.9310  0.2319  3 Dy 3.26-3.50, 4 Y 3.64
Y  0.4097  0.4097  0.4097  3 Dy 3.11, 1 Y 3.16
Y  0.5903  0.5903  0.5903  3 Dy 3.11, 1 Y 3.16
Y  0.6495  0.0690  0.7681  3 Dy 3.26-3.50, 4 Y 3.64
Y  0.7681  0.6495  0.0690  3 Dy 3.26-3.50, 4 Y 3.64
Y  0.9310  0.2319  0.3505  3 Dy 3.26-3.50, 4 Y 3.64
Sc  0.0000  0.0000  0.0000  6 Dy 3.29, 6 Y 3.66

Its energy relative to the lowest polymorph listed for this composition is 44 meV/atom. The value obtained for the total moment is 0.00 μB/cell. The calculated formation energy comes out at 0.187 eV/atom. The calculation puts the calculated volume at 476.39 Å³/cell.

=====

(2)
Computed, not measured: InAg2P after structural relaxation at the PBE level of DFT.

a = 4.7836 Å, b = 4.7836 Å, c = 4.7836 Å
α = 60.00°, β = 60.00°, γ = 60.00°
With the nearest neighbours (Å) after each atom.
Element x y z (fractional)
In  0.0000  0.0000  0.0000  4 P 2.93, 4 Ag 2.93
Ag  0.5000  0.5000  0.5000  4 Ag 2.93, 4 P 2.93
Ag  0.7500  0.7500  0.7500  4 Ag 2.93, 4 In 2.93
P  0.2500  0.2500  0.2500  4 In 2.93, 4 Ag 2.93

Its energy relative to the lowest polymorph listed for this composition is 112 meV/atom. The value obtained for the total moment is 0.00 μB/cell. The calculated formation energy comes out at 0.270 eV/atom. The calculation puts the calculated volume at 77.40 Å³/cell.

=====

(3)
Computed, not measured: Na2LiCaBr5 after structural relaxation at the PBE level of DFT.

a = 9.2044 Å, b = 9.2044 Å, c = 14.7482 Å
α = 90.00°, β = 90.00°, γ = 153.14°
With the nearest neighbours (Å) after each atom.
Element x y z (fractional)
Na  0.0657  0.9343  0.5000  6 Br 3.00-3.35
Na  0.0798  0.9202  0.2236  5 Br 2.97-3.20
Na  0.9202  0.0798  0.7236  5 Br 2.97-3.20
Na  0.9343  0.0657  0.0000  6 Br 3.00-3.35
Li  0.4019  0.5981  0.2677  4 Br 2.56-2.61
Li  0.5981  0.4019  0.7677  4 Br 2.56-2.61
Ca  0.2458  0.7542  0.8856  6 Br 2.88-2.96
Ca  0.7542  0.2458  0.3856  6 Br 2.88-2.96
Br  0.0846  0.9154  0.8641  2 Li 2.58
Br  0.2371  0.7629  0.5151  2 Ca 2.88, 1 Na 3.08
Br  0.2573  0.7427  0.2471  1 Li 2.61
Br  0.4056  0.5944  0.8620  1 Ca 2.88, 4 Na 2.97-3.00
Br  0.4881  0.5119  0.1292  1 Li 2.56
Br  0.5119  0.4881  0.6292  1 Li 2.56
Br  0.5944  0.4056  0.3620  1 Ca 2.88, 4 Na 2.97-3.00
Br  0.7427  0.2573  0.7471  1 Li 2.61
Br  0.7629  0.2371  0.0151  2 Ca 2.88, 1 Na 3.08
Br  0.9154  0.0846  0.3641  2 Li 2.58

The value obtained for the total moment is 0.00 μB/cell. The value obtained for the uncorrected energy is -3.347 eV per atom. The calculation puts the calculated volume at 564.59 Å³/cell.

=====

(4)
Computed, not measured: Sm3Ho3Tm5 after structural relaxation at the PBE level of DFT.

a = 9.5904 Å, b = 9.5904 Å, c = 5.4274 Å
α = 90.00°, β = 90.00°, γ = 120.00°
With the nearest neighbours (Å) after each atom.
Element x y z (fractional)
Sm  0.0000  0.6310  0.0000  4 Tm 3.04-3.16, 2 Ho 3.24
Sm  0.3690  0.3690  0.0000  4 Tm 3.04-3.16, 2 Ho 3.24
Sm  0.6310  0.0000  0.0000  4 Tm 3.04-3.16, 2 Ho 3.24
Ho  0.0000  0.4467  0.5000  2 Tm 3.23, 2 Sm 3.24
Ho  0.4467  0.0000  0.5000  2 Tm 3.23, 2 Sm 3.24
Ho  0.5533  0.5533  0.5000  2 Tm 3.23, 2 Sm 3.24
Tm  0.0000  0.2645  0.0000  3 Sm 3.16-3.52, 2 Ho 3.23
Tm  0.2645  0.0000  0.0000  3 Sm 3.16-3.52, 2 Ho 3.23
Tm  0.3333  0.6667  0.0000  3 Sm 3.04
Tm  0.6667  0.3333  0.0000  3 Sm 3.04
Tm  0.7355  0.7355  0.0000  3 Sm 3.16-3.52, 2 Ho 3.23

The value obtained for the total moment is 0.00 μB/cell. The calculated formation energy comes out at 0.830 eV/atom. The calculation puts the calculated volume at 432.31 Å³/cell.

=====

(5)
Computed, not measured: Al3Zn3Ag after structural relaxation at the PBE level of DFT.

a = 5.4178 Å, b = 5.4178 Å, c = 5.4178 Å
α = 109.34°, β = 109.34°, γ = 109.34°
With the nearest neighbours (Å) after each atom.
Element x y z (fractional)
Al  0.0254  0.4873  0.4873  6 Zn 2.67-2.77, 2 Ag 2.76-2.83
Al  0.4873  0.0254  0.4873  6 Zn 2.67-2.77, 2 Ag 2.76-2.83
Al  0.4873  0.4873  0.0254  6 Zn 2.67-2.77, 2 Ag 2.76-2.83
Zn  0.5192  0.9981  0.9981  6 Al 2.67-2.77, 1 Ag 2.72
Zn  0.9981  0.5192  0.9981  6 Al 2.67-2.77, 1 Ag 2.72
Zn  0.9981  0.9981  0.5192  6 Al 2.67-2.77, 1 Ag 2.72
Ag  0.6198  0.6198  0.6198  3 Zn 2.72, 6 Al 2.76-2.83

Its energy relative to the lowest polymorph listed for this composition is 66 meV/atom. The value obtained for the total moment is 0.00 μB/cell. The calculated formation energy comes out at 0.087 eV/atom. The calculation puts the calculated volume at 123.03 Å³/cell.

=====

(6)
Computed, not measured: ZnInI2 after structural relaxation at the PBE level of DFT.

a = 9.4260 Å, b = 9.4260 Å, c = 9.4260 Å
α = 136.88°, β = 136.88°, γ = 62.63°
With the nearest neighbours (Å) after each atom.
Element x y z (fractional)
Zn  0.0000  0.0000  0.0000  4 I 2.92
Zn  0.7500  0.2500  0.5000  4 I 2.92
In  0.2500  0.7500  0.5000  4 I 3.48
In  0.5000  0.5000  0.0000  4 I 3.48
I  0.0505  0.6250  0.9255  2 Zn 2.92
I  0.3750  0.3005  0.4255  2 Zn 2.92
I  0.6995  0.1250  0.0745  2 Zn 2.92
I  0.8750  0.9495  0.5745  2 Zn 2.92

Its energy relative to the lowest polymorph listed for this composition is 0 meV/atom. The value obtained for the total moment is 0.00 μB/cell. The calculation puts the calculated volume at 386.54 Å³/cell.

=====

(7)
Computed, not measured: Sr2Li16Mg after structural relaxation at the PBE level of DFT.

a = 7.7583 Å, b = 7.7583 Å, c = 7.7583 Å
α = 83.60°, β = 83.60°, γ = 83.60°
With the nearest neighbours (Å) after each atom.
Element x y z (fractional)
Sr  0.0000  0.0000  0.0000  18 Li 3.68-4.01, 1 Mg 3.72
Sr  0.3085  0.3085  0.3085  19 Li 3.64-4.03
Li  0.0004  0.0004  0.5169  8 Li 2.94-3.17, 1 Mg 3.18
Li  0.0004  0.5169  0.0004  8 Li 2.94-3.17, 1 Mg 3.18
Li  0.1539  0.6572  0.6572  9 Li 2.91-3.15, 1 Mg 3.16
Li  0.3091  0.3091  0.7978  9 Li 2.97-3.16
Li  0.3091  0.7978  0.3091  9 Li 2.97-3.16
Li  0.3730  0.6559  0.9388  8 Li 2.91-3.17, 1 Mg 3.24
Li  0.3730  0.9388  0.6559  8 Li 2.91-3.17, 1 Mg 3.24
Li  0.5169  0.0004  0.0004  8 Li 2.94-3.17, 1 Mg 3.18
Li  0.5537  0.5537  0.5537  1 Mg 2.91, 6 Li 3.15-3.16
Li  0.6559  0.3730  0.9388  8 Li 2.91-3.17, 1 Mg 3.24
Li  0.6559  0.9388  0.3730  8 Li 2.91-3.17, 1 Mg 3.24
Li  0.6572  0.1539  0.6572  9 Li 2.91-3.15, 1 Mg 3.16
Li  0.6572  0.6572  0.1539  9 Li 2.91-3.15, 1 Mg 3.16
Li  0.7978  0.3091  0.3091  9 Li 2.97-3.16
Li  0.9388  0.3730  0.6559  8 Li 2.91-3.17, 1 Mg 3.24
Li  0.9388  0.6559  0.3730  8 Li 2.91-3.17, 1 Mg 3.24
Mg  0.7496  0.7496  0.7496  13 Li 2.91-3.24

The value obtained for the total moment is 0.00 μB/cell. The calculated formation energy comes out at 0.004 eV/atom. The calculation puts the calculated volume at 458.87 Å³/cell.

=====

(8)
Computed, not measured: NbZn2CuOs after structural relaxation at the PBE level of DFT.

a = 4.7774 Å, b = 4.7774 Å, c = 4.7718 Å
α = 90.00°, β = 90.00°, γ = 90.00°
With the nearest neighbours (Å) after each atom.
Element x y z (fractional)
Nb  0.0000  0.0000  0.0000  2 Os 2.39
Zn  0.0000  0.5000  0.5000  2 Os 2.39
Zn  0.5000  0.0000  0.5000  2 Os 2.39
Cu  0.5000  0.5000  0.0000  8 Zn 3.38, 4 Nb 3.38
Os  0.0000  0.0000  0.5000  2 Nb 2.39, 4 Zn 2.39

The value obtained for the total moment is 0.16 μB/cell. The calculated formation energy comes out at 0.977 eV/atom. The calculation puts the calculated volume at 108.91 Å³/cell.

=====

(9)
Computed, not measured: Ta2MnCr after structural relaxation at the PBE level of DFT.

a = 3.0788 Å, b = 3.0788 Å, c = 6.1703 Å
α = 90.00°, β = 90.00°, γ = 90.00°
With the nearest neighbours (Å) after each atom.
Element x y z (fractional)
Ta  0.0000  0.0000  0.2487  4 Mn 2.66, 4 Cr 2.67
Ta  0.0000  0.0000  0.7513  4 Mn 2.66, 4 Cr 2.67
Mn  0.5000  0.5000  0.0000  8 Ta 2.66
Cr  0.5000  0.5000  0.5000  8 Ta 2.67

The value obtained for the total moment is 0.01 μB/cell. The calculated formation energy comes out at -0.143 eV/atom. The calculation puts the calculated volume at 58.49 Å³/cell.

=====

(10)
Computed, not measured: LiH4Ir after structural relaxation at the PBE level of DFT.

a = 4.9753 Å, b = 4.0516 Å, c = 4.5327 Å
α = 90.00°, β = 105.43°, γ = 90.00°
With the nearest neighbours (Å) after each atom.
Element x y z (fractional)
Li  0.0000  0.0000  0.0000  4 H 1.84-1.92
Li  0.0000  0.5000  0.5000  4 H 1.84-1.92
H  0.1628  0.0978  0.4054  1 Ir 1.67, 1 Li 1.84
H  0.1628  0.4022  0.9054  1 Ir 1.67, 1 Li 1.84
H  0.3459  0.6775  0.2630  2 Ir 1.74
H  0.3459  0.8225  0.7630  2 Ir 1.74
H  0.6541  0.1775  0.2370  2 Ir 1.74
H  0.6541  0.3225  0.7370  2 Ir 1.74
H  0.8372  0.5978  0.0946  1 Ir 1.67, 1 Li 1.84
H  0.8372  0.9022  0.5946  1 Ir 1.67, 1 Li 1.84
Ir  0.5000  0.0000  0.5000  6 H 1.67-1.74
Ir  0.5000  0.5000  0.0000  6 H 1.67-1.74

Its energy relative to the lowest polymorph listed for this composition is 30 meV/atom. The value obtained for the total moment is 0.00 μB/cell. The calculation puts the calculated volume at 88.08 Å³/cell.

=====

(11)
Computed, not measured: CeDy4Er4 after structural relaxation at the PBE level of DFT.

a = 7.8767 Å, b = 7.8767 Å, c = 7.8767 Å
α = 95.77°, β = 95.77°, γ = 143.04°
With the nearest neighbours (Å) after each atom.
Element x y z (fractional)
Ce  0.0000  0.0000  0.0000  4 Dy 3.51, 8 Er 3.51
Dy  0.0000  0.3323  0.3323  1 Ce 3.51, 6 Er 3.52-3.53, 5 Dy 3.54
Dy  0.0000  0.6677  0.6677  1 Ce 3.51, 6 Er 3.52-3.53, 5 Dy 3.54
Dy  0.3323  0.0000  0.3323  1 Ce 3.51, 6 Er 3.52-3.53, 5 Dy 3.54
Dy  0.6677  0.0000  0.6677  1 Ce 3.51, 6 Er 3.52-3.53, 5 Dy 3.54
Er  0.3345  0.3345  0.6691  4 Er 3.50-3.55, 2 Ce 3.51, 6 Dy 3.52-3.53
Er  0.3345  0.6655  0.0000  4 Er 3.50-3.55, 2 Ce 3.51, 6 Dy 3.52-3.53
Er  0.6655  0.3345  0.0000  4 Er 3.50-3.55, 2 Ce 3.51, 6 Dy 3.52-3.53
Er  0.6655  0.6655  0.3309  4 Er 3.50-3.55, 2 Ce 3.51, 6 Dy 3.52-3.53

The value obtained for the total moment is 1.15 μB/cell. The calculated formation energy comes out at 0.042 eV/atom. The calculation puts the calculated volume at 278.68 Å³/cell.